Record 1
## Li2HfZrNi2Sn2 (PBE)

Data for crystalline Li2HfZrNi2Sn2 at its relaxed geometry.

Geometry as CIF:
```
data_Li2HfZrNi2Sn2
_space_group_name_H-M_alt 'P -4 m 2'
_space_group_IT_number 115
_cell_length_a 4.468
_cell_length_b 4.468
_cell_length_c 6.342
_cell_angle_alpha 90.00
_cell_angle_beta 90.00
_cell_angle_gamma 90.00
loop_
_space_group_symop_operation_xyz
'x,y,z'
'y,-x,-z'
'-x,-y,z'
'-y,x,-z'
'-x,y,z'
'-y,-x,-z'
'x,-y,z'
'y,x,-z'
loop_
_atom_site_label
_atom_site_fract_x
_atom_site_fract_y
_atom_site_fract_z
Li1 0.000 0.500 0.247
Hf1 0.000 0.000 0.000
Zr1 0.500 0.500 0.500
Ni1 0.000 0.500 0.761
Sn1 0.000 0.000 0.500
Sn2 0.500 0.500 0.000
```

Properties
- Total energy: -44.60 eV per formula unit
- V: 127 Å³ per cell
- Spin magnetization: 0.00 Bohr magnetons per cell

***

Record 2
## Nb (PBE)

Data for crystalline Nb at its relaxed geometry.

Geometry as CIF:
```
data_Nb
_space_group_name_H-M_alt 'C m c m'
_space_group_IT_number 63
_space_group_name_Hall '-C 2c 2'
_cell_length_a 2.678
_cell_length_b 5.606
_cell_length_c 4.970
_cell_angle_alpha 90.00
_cell_angle_beta 90.00
_cell_angle_gamma 90.00
loop_
_atom_site_label
_atom_site_fract_x
_atom_site_fract_y
_atom_site_fract_z
Nb1 0.000 0.134 0.250
```

Properties
- Energy above the most stable polymorph in this dataset: 0.198 eV per atom
- DFT formation energy: 0.198 eV/atom
- Total energy: -9.90 eV per formula unit
- V: 75 Å³ per cell
- Spin magnetization: 0.02 Bohr magnetons per cell

***

Record 3
## ErTm4Lu2Cu2Te2 (PBE)

Data for crystalline ErTm4Lu2Cu2Te2 at its relaxed geometry.

Geometry as CIF:
```
data_ErTm4Lu2Cu2Te2
_space_group_name_H-M_alt 'I m m 2'
_space_group_IT_number 44
_cell_length_a 3.925
_cell_length_b 15.192
_cell_length_c 9.474
_cell_angle_alpha 90.00
_cell_angle_beta 90.00
_cell_angle_gamma 90.00
loop_
_space_group_symop_operation_xyz
'x,y,z'
'-x,-y,z'
'-x,y,z'
'x,-y,z'
'x+1/2,y+1/2,z+1/2'
'-x+1/2,-y+1/2,z+1/2'
'-x+1/2,y+1/2,z+1/2'
'x+1/2,-y+1/2,z+1/2'
loop_
_atom_site_label
_atom_site_fract_x
_atom_site_fract_y
_atom_site_fract_z
Er1 0.000 0.000 0.000
Tm1 0.000 0.132 0.585
Tm2 0.000 0.355 0.736
Lu1 0.000 0.315 0.379
Cu1 0.000 0.235 0.072
Te1 0.000 0.000 0.339
Te2 0.000 0.500 0.235
```

Properties
- Total energy: -51.50 eV per formula unit
- V: 565 Å³ per cell
- Spin magnetization: 0.13 Bohr magnetons per cell

***

Record 4
## Rb3TlSb2Au2 (PBE)

Data for crystalline Rb3TlSb2Au2 at its relaxed geometry.

Geometry as CIF:
```
data_Rb3TlSb2Au2
_space_group_name_H-M_alt 'P 1 m 1'
_space_group_IT_number 6
_cell_length_a 6.520
_cell_length_b 6.887
_cell_length_c 6.884
_cell_angle_alpha 90.00
_cell_angle_beta 108.92
_cell_angle_gamma 90.00
loop_
_space_group_symop_operation_xyz
'x,y,z'
'x,-y,z'
loop_
_atom_site_label
_atom_site_fract_x
_atom_site_fract_y
_atom_site_fract_z
Rb1 0.000 0.000 0.000
Rb2 0.036 0.500 0.315
Rb3 0.670 0.500 0.634
Tl1 0.352 0.000 0.683
Sb1 0.258 0.500 0.881
Sb2 0.757 0.000 0.426
Au1 0.520 0.241 0.131
```

Properties
- Total energy: -23.16 eV per formula unit
- V: 292 Å³ per cell

***

> Number 1 is which compound?

Li2HfZrNi2Sn2

***

> The highest V belongs to which entry?

ErTm4Lu2Cu2Te2

***

> Which of these has the lowest V?

Nb